Entry 1:
VASP calculation (PBE) on a geometry-optimized Pu2Sn structure.

Structure (CIF):
```
data_Pu2Sn
_symmetry_space_group_name_H-M 'P 1'
_symmetry_Int_Tables_number 1
_symmetry_space_group_name_Hall 'P 1'
_cell_length_a 6.006
_cell_length_b 6.006
_cell_length_c 6.006
_cell_angle_alpha 60.00
_cell_angle_beta 60.00
_cell_angle_gamma 60.00
loop_
_atom_site_label
_atom_site_type_symbol
_atom_site_fract_x
_atom_site_fract_y
_atom_site_fract_z
Pu1 Pu 0.000 0.000 0.000
Pu2 Pu 0.000 0.000 0.500
Pu3 Pu 0.000 0.500 0.000
Pu4 Pu 0.500 0.000 0.000
Sn1 Sn 0.375 0.375 0.375
Sn2 Sn 0.625 0.625 0.625
```

As for the energy of formation: 0.01 eV/atom.

Entry 2:
VASP calculation (PBE) on a geometry-optimized LuPa2Ge structure.

Structure (CIF):
```
data_LuPa2Ge
_symmetry_space_group_name_H-M 'P 1'
_symmetry_Int_Tables_number 1
_symmetry_space_group_name_Hall 'P 1'
_cell_length_a 3.908
_cell_length_b 3.908
_cell_length_c 6.638
_cell_angle_alpha 90.00
_cell_angle_beta 90.00
_cell_angle_gamma 90.00
loop_
_atom_site_label
_atom_site_type_symbol
_atom_site_fract_x
_atom_site_fract_y
_atom_site_fract_z
Lu1 Lu 0.000 0.000 0.000
Pa1 Pa 0.500 0.500 0.302
Pa2 Pa 0.500 0.500 0.698
Ge1 Ge 0.000 0.000 0.500
```

The energy above the most stable polymorph in this dataset is 119 meV/atom. As for the energy of formation: -0.11 eV/atom.

Entry 3:
VASP calculation (PBE) on a geometry-optimized Y3Ag structure.

Structure (CIF):
```
data_Y3Ag
_symmetry_space_group_name_H-M 'P 1'
_symmetry_Int_Tables_number 1
_symmetry_space_group_name_Hall 'P 1'
_cell_length_a 10.701
_cell_length_b 10.701
_cell_length_c 10.701
_cell_angle_alpha 19.25
_cell_angle_beta 19.25
_cell_angle_gamma 19.25
loop_
_atom_site_label
_atom_site_type_symbol
_atom_site_fract_x
_atom_site_fract_y
_atom_site_fract_z
Y1 Y 0.000 0.000 0.000
Y2 Y 0.241 0.241 0.241
Y3 Y 0.759 0.759 0.759
Ag1 Ag 0.500 0.500 0.500
```

The energy above the most stable polymorph in this dataset is 114 meV/atom. As for the energy of formation: -0.02 eV/atom.

Entry 4:
VASP calculation (PBE) on a geometry-optimized TlSbS structure.

Structure (CIF):
```
data_TlSbS
_symmetry_space_group_name_H-M 'P 1'
_symmetry_Int_Tables_number 1
_symmetry_space_group_name_Hall 'P 1'
_cell_length_a 3.585
_cell_length_b 3.585
_cell_length_c 7.120
_cell_angle_alpha 90.00
_cell_angle_beta 90.00
_cell_angle_gamma 120.00
loop_
_atom_site_label
_atom_site_type_symbol
_atom_site_fract_x
_atom_site_fract_y
_atom_site_fract_z
Tl1 Tl 0.000 0.000 0.000
Sb1 Sb 0.333 0.667 0.577
S1 S 0.667 0.333 0.328
```

The energy above the most stable polymorph in this dataset is 212 meV/atom. For the uncorrected formation energy, the calculation gives 0.0098 eV per atom.

Entry 5:
VASP calculation (PBE) on a geometry-optimized Nb2Te6Mo structure.

Structure (CIF):
```
data_Nb2Te6Mo
_symmetry_space_group_name_H-M 'P 1'
_symmetry_Int_Tables_number 1
_symmetry_space_group_name_Hall 'P 1'
_cell_length_a 7.000
_cell_length_b 7.230
_cell_length_c 10.183
_cell_angle_alpha 90.00
_cell_angle_beta 120.42
_cell_angle_gamma 90.00
loop_
_atom_site_label
_atom_site_type_symbol
_atom_site_fract_x
_atom_site_fract_y
_atom_site_fract_z
Nb1 Nb 0.243 0.138 0.260
Nb2 Nb 0.243 0.362 0.760
Nb3 Nb 0.757 0.638 0.240
Nb4 Nb 0.757 0.862 0.740
Te1 Te 0.084 0.156 0.926
Te2 Te 0.084 0.344 0.426
Te3 Te 0.319 0.672 0.949
Te4 Te 0.319 0.828 0.449
Te5 Te 0.397 0.005 0.761
Te6 Te 0.397 0.495 0.261
Te7 Te 0.603 0.505 0.739
Te8 Te 0.603 0.995 0.239
Te9 Te 0.681 0.172 0.551
Te10 Te 0.681 0.328 0.051
Te11 Te 0.916 0.656 0.574
Te12 Te 0.916 0.844 0.074
Mo1 Mo 0.000 0.000 0.500
Mo2 Mo 0.000 0.500 0.000
```

The energy above the most stable polymorph in this dataset is 250 meV/atom. For the uncorrected formation energy, the calculation gives -0.1262 eV per atom.

Entry 6:
VASP calculation (PBE) on a geometry-optimized Sc3Ag structure.

Structure (CIF):
```
data_Sc3Ag
_symmetry_space_group_name_H-M 'P 1'
_symmetry_Int_Tables_number 1
_symmetry_space_group_name_Hall 'P 1'
_cell_length_a 6.192
_cell_length_b 6.192
_cell_length_c 4.758
_cell_angle_alpha 90.00
_cell_angle_beta 90.00
_cell_angle_gamma 102.29
loop_
_atom_site_label
_atom_site_type_symbol
_atom_site_fract_x
_atom_site_fract_y
_atom_site_fract_z
Sc1 Sc 0.106 0.894 0.750
Sc2 Sc 0.178 0.403 0.750
Sc3 Sc 0.403 0.178 0.250
Sc4 Sc 0.597 0.822 0.750
Sc5 Sc 0.822 0.597 0.250
Sc6 Sc 0.894 0.106 0.250
Ag1 Ag 0.317 0.683 0.250
Ag2 Ag 0.683 0.317 0.750
```

The energy above the most stable polymorph in this dataset is 49 meV/atom. As for the energy of formation: -0.08 eV/atom.

Entry 7:
VASP calculation (PBE) on a geometry-optimized InGaMo3 structure.

Structure (CIF):
```
data_InGaMo3
_symmetry_space_group_name_H-M 'P 1'
_symmetry_Int_Tables_number 1
_symmetry_space_group_name_Hall 'P 1'
_cell_length_a 4.884
_cell_length_b 4.884
_cell_length_c 4.884
_cell_angle_alpha 90.00
_cell_angle_beta 90.00
_cell_angle_gamma 90.00
loop_
_atom_site_label
_atom_site_type_symbol
_atom_site_fract_x
_atom_site_fract_y
_atom_site_fract_z
In1 In 0.000 0.000 0.000
Ga1 Ga 0.500 0.500 0.500
Mo1 Mo 0.000 0.000 0.500
Mo2 Mo 0.000 0.500 0.000
Mo3 Mo 0.500 0.000 0.000
```

The energy above the most stable polymorph in this dataset is 1043 meV/atom. As for the energy of formation: 2.34 eV/atom.

Entry 8:
VASP calculation (PBE) on a geometry-optimized Th2AlTe structure.

Structure (CIF):
```
data_Th2AlTe
_symmetry_space_group_name_H-M 'P 1'
_symmetry_Int_Tables_number 1
_symmetry_space_group_name_Hall 'P 1'
_cell_length_a 3.649
_cell_length_b 3.649
_cell_length_c 8.262
_cell_angle_alpha 90.00
_cell_angle_beta 90.00
_cell_angle_gamma 90.00
loop_
_atom_site_label
_atom_site_type_symbol
_atom_site_fract_x
_atom_site_fract_y
_atom_site_fract_z
Th1 Th 0.000 0.000 0.246
Th2 Th 0.000 0.000 0.754
Al1 Al 0.500 0.500 0.000
Te1 Te 0.500 0.500 0.500
```

The energy above the most stable polymorph in this dataset is 0 meV/atom. For the uncorrected formation energy, the calculation gives -0.6057 eV per atom.

Entry 9:
VASP calculation (PBE) on a geometry-optimized Cd12AgAu7 structure.

Structure (CIF):
```
data_Cd12AgAu7
_symmetry_space_group_name_H-M 'P 1'
_symmetry_Int_Tables_number 1
_symmetry_space_group_name_Hall 'P 1'
_cell_length_a 8.428
_cell_length_b 8.428
_cell_length_c 8.428
_cell_angle_alpha 110.78
_cell_angle_beta 110.78
_cell_angle_gamma 110.78
loop_
_atom_site_label
_atom_site_type_symbol
_atom_site_fract_x
_atom_site_fract_y
_atom_site_fract_z
Cd1 Cd 0.003 0.276 0.727
Cd2 Cd 0.160 0.494 0.496
Cd3 Cd 0.273 0.997 0.724
Cd4 Cd 0.276 0.727 0.003
Cd5 Cd 0.494 0.496 0.160
Cd6 Cd 0.496 0.160 0.494
Cd7 Cd 0.504 0.840 0.506
Cd8 Cd 0.506 0.504 0.840
Cd9 Cd 0.724 0.273 0.997
Cd10 Cd 0.727 0.003 0.276
Cd11 Cd 0.840 0.506 0.504
Cd12 Cd 0.997 0.724 0.273
Ag1 Ag 0.000 0.000 0.000
Au1 Au 0.134 0.440 0.136
Au2 Au 0.136 0.134 0.440
Au3 Au 0.440 0.136 0.134
Au4 Au 0.500 0.500 0.500
Au5 Au 0.560 0.864 0.866
Au6 Au 0.864 0.866 0.560
Au7 Au 0.866 0.560 0.864
```

As for the energy of formation: -0.04 eV/atom.

Entry 10:
VASP calculation (PBE) on a geometry-optimized CaSe2Br structure.

Structure (CIF):
```
data_CaSe2Br
_symmetry_space_group_name_H-M 'P 1'
_symmetry_Int_Tables_number 1
_symmetry_space_group_name_Hall 'P 1'
_cell_length_a 3.879
_cell_length_b 3.879
_cell_length_c 7.829
_cell_angle_alpha 90.00
_cell_angle_beta 90.00
_cell_angle_gamma 90.00
loop_
_atom_site_label
_atom_site_type_symbol
_atom_site_fract_x
_atom_site_fract_y
_atom_site_fract_z
Ca1 Ca 0.000 0.000 0.000
Se1 Se 0.000 0.000 0.352
Se2 Se 0.500 0.500 0.301
Br1 Br 0.500 0.500 0.823
```

The energy above the most stable polymorph in this dataset is 89 meV/atom. For the uncorrected formation energy, the calculation gives -0.9919 eV per atom.

Entry 11:
VASP calculation (PBE) on a geometry-optimized YSiSeN2 structure.

Structure (CIF):
```
data_YSiSeN2
_symmetry_space_group_name_H-M 'P 1'
_symmetry_Int_Tables_number 1
_symmetry_space_group_name_Hall 'P 1'
_cell_length_a 4.388
_cell_length_b 4.388
_cell_length_c 5.739
_cell_angle_alpha 90.00
_cell_angle_beta 90.00
_cell_angle_gamma 90.00
loop_
_atom_site_label
_atom_site_type_symbol
_atom_site_fract_x
_atom_site_fract_y
_atom_site_fract_z
Y1 Y 0.000 0.000 0.000
Si1 Si 0.500 0.500 0.500
Se1 Se 0.000 0.000 0.500
N1 N 0.000 0.500 0.000
N2 N 0.500 0.000 0.000
```

The energy above the most stable polymorph in this dataset is 1160 meV/atom. For the uncorrected formation energy, the calculation gives 0.9383 eV per atom.

Entry 12:
VASP calculation (PBE) on a geometry-optimized PmNd2OsO8 structure.

Structure (CIF):
```
data_PmNd2OsO8
_symmetry_space_group_name_H-M 'P 1'
_symmetry_Int_Tables_number 1
_symmetry_space_group_name_Hall 'P 1'
_cell_length_a 5.201
_cell_length_b 5.201
_cell_length_c 7.008
_cell_angle_alpha 90.00
_cell_angle_beta 90.00
_cell_angle_gamma 90.04
loop_
_atom_site_label
_atom_site_type_symbol
_atom_site_fract_x
_atom_site_fract_y
_atom_site_fract_z
Pm1 Pm 0.000 0.000 0.000
Nd1 Nd 0.500 0.500 0.250
Nd2 Nd 0.500 0.500 0.750
Os1 Os 0.000 0.000 0.500
O1 O 0.179 0.179 0.296
O2 O 0.179 0.179 0.704
O3 O 0.253 0.747 0.500
O4 O 0.309 0.691 0.000
O5 O 0.691 0.309 0.000
O6 O 0.747 0.253 0.500
O7 O 0.821 0.821 0.296
O8 O 0.821 0.821 0.704
```

For the uncorrected formation energy, the calculation gives -2.4140 eV per atom.